Ho2LuAg: relaxed, PBE.

CIF file:
```
data_Ho2LuAg
_space_group_name_H-M_alt 'R -3 m'
_space_group_IT_number 166
_space_group_name_Hall '-R 3 2"'
_cell_length_a 3.5009
_cell_length_b 3.5009
_cell_length_c 31.1675
_cell_angle_alpha 90.00
_cell_angle_beta 90.00
_cell_angle_gamma 120.00
loop_
_atom_site_label
_atom_site_type_symbol
_atom_site_fract_x
_atom_site_fract_y
_atom_site_fract_z
_atom_site_occupancy
Ho1 Ho 0.0000 0.0000 0.2428 1
Lu1 Lu 0.0000 0.0000 0.0000 1
Ag1 Ag 0.0000 0.0000 0.5000 1
```

* ΔH_f (0 K): -0.07 eV per formula unit
* ΔE to the lowest computed polymorph: 110 meV per atom

---

HoLuAg4: relaxed, PBE.

CIF file:
```
data_HoLuAg4
_space_group_name_H-M_alt 'F -4 3 m'
_space_group_IT_number 216
_space_group_name_Hall 'F -4 2 3'
_cell_length_a 8.016
_cell_length_b 8.016
_cell_length_c 8.016
_cell_angle_alpha 90.00
_cell_angle_beta 90.00
_cell_angle_gamma 90.00
loop_
_atom_site_label
_atom_site_type_symbol
_atom_site_fract_x
_atom_site_fract_y
_atom_site_fract_z
_atom_site_occupancy
Ho1 Ho 0.000 0.000 0.000 1
Lu1 Lu 0.250 0.250 0.250 1
Ag1 Ag 0.125 0.125 0.625 1
```

* ΔH_f (0 K): -1.03 eV per formula unit